Record 1
First-principles (PBE-GGA) data for a relaxed structure of MgRe2Br, as listed in the Alexandria database.

Calculated values
**Calculated volume**: 17.27 A^3/atom
**ΔE to the lowest computed polymorph**: 665.0 meV/atom
**Electronic total energy**: -24.884 eV/cell
**ΔE_f (raw)**: 0.82 eV/atom

a b c (Å): 2.998 4.474 5.150
angles (deg): 90.00 90.00 90.00
Space group Pmmm (No. 47)
Asymmetric unit:
Mg1 0.000 0.000 0.000
Re1 0.000 0.500 0.500
Re2 0.500 0.000 0.500
Br1 0.500 0.500 0.000


Record 2
First-principles (PBE-GGA) data for a relaxed structure of HfTiC2, as listed in the Alexandria database.

Calculated values
**Calculated volume**: 11.11 A^3/atom
**ΔE to the lowest computed polymorph**: 1199.0 meV/atom
**Electronic total energy**: -139.267 eV/cell

a b c (Å): 5.622 5.622 5.622
angles (deg): 90.00 90.00 90.00
Space group Fm-3m (No. 225)
Asymmetric unit:
Hf1 0.000 0.000 0.000
Ti1 0.000 0.000 0.500
C1 0.250 0.250 0.250


Record 3
First-principles (PBE-GGA) data for a relaxed structure of LiPSCl2, as listed in the Alexandria database.

Calculated values
**Calculated volume**: 18.80 A^3/atom
**ΔE to the lowest computed polymorph**: 680.5 meV/atom
**Electronic total energy**: -13.757 eV/cell
**ΔE_f (raw)**: 0.28 eV/atom

a b c (Å): 4.398 4.398 4.859
angles (deg): 90.00 90.00 90.00
Space group P4/mmm (No. 123)
Asymmetric unit:
Li1 0.000 0.000 0.000
P1 0.500 0.500 0.500
S1 0.000 0.000 0.500
Cl1 0.000 0.500 0.000


Record 4
First-principles (PBE-GGA) data for a relaxed structure of ScTlO2, as listed in the Alexandria database.

Calculated values
**Calculated volume**: 14.96 A^3/atom
**ΔE to the lowest computed polymorph**: 73.9 meV/atom
**Electronic total energy**: -55.921 eV/cell
**ΔE_f (raw)**: -2.34 eV/atom

a b c (Å): 3.2647 3.2647 12.9681
angles (deg): 90.00 90.00 120.00
Space group P6_3/mmc (No. 194)
Asymmetric unit:
Sc1 0.0000 0.0000 0.0000
Tl1 0.3333 0.6667 0.2500
O1 0.3333 0.6667 0.5818


Record 5
First-principles (PBE-GGA) data for a relaxed structure of HfZrAl3, as listed in the Alexandria database.

Calculated values
**Calculated volume**: 24.13 A^3/atom
**ΔE to the lowest computed polymorph**: 1030.3 meV/atom
**Electronic total energy**: -24.943 eV/cell

a b c (Å): 4.941 4.941 4.941
angles (deg): 90.00 90.00 90.00
Space group Pm-3m (No. 221)
Asymmetric unit:
Hf1 0.000 0.000 0.000
Zr1 0.500 0.500 0.500
Al1 0.000 0.500 0.500


Record 6
First-principles (PBE-GGA) data for a relaxed structure of DyZnCuRu, as listed in the Alexandria database.

Calculated values
**Calculated volume**: 16.86 A^3/atom
**Electronic total energy**: -78.649 eV/cell

a b c (Å): 6.461 6.461 6.461
angles (deg): 90.00 90.00 90.00
Space group F-43m (No. 216)
Asymmetric unit:
Dy1 0.000 0.000 0.000
Zn1 0.000 0.000 0.500
Cu1 0.250 0.250 0.750
Ru1 0.250 0.250 0.250


Record 7
First-principles (PBE-GGA) data for a relaxed structure of LaNdCCl, as listed in the Alexandria database.

Calculated values
**Calculated volume**: 22.90 A^3/atom
**Electronic total energy**: -74.490 eV/cell
**ΔE_f (raw)**: -1.02 eV/atom

a b c (Å): 3.7853 3.7853 22.1503
angles (deg): 90.00 90.00 120.00
Space group R3m (No. 160, hexagonal axes)
Asymmetric unit:
La1 0.0000 0.0000 0.0000
Nd1 0.0000 0.0000 0.7940
C1 0.0000 0.0000 0.3981
Cl1 0.0000 0.0000 0.2254


Record 8
First-principles (PBE-GGA) data for a relaxed structure of Dy2HfSc, as listed in the Alexandria database.

Calculated values
**Calculated volume**: 26.92 A^3/atom
**ΔE to the lowest computed polymorph**: 5.7 meV/atom
**Electronic total energy**: -75.012 eV/cell

a b c (Å): 3.3771 3.3771 32.7090
angles (deg): 90.00 90.00 120.00
Space group R3m (No. 160, hexagonal axes)
Asymmetric unit:
Dy1 0.0000 0.0000 0.0000
Dy2 0.0000 0.0000 0.1713
Hf1 0.0000 0.0000 0.5857
Sc1 0.0000 0.0000 0.7522


Q: Which value of electronic total energy does entry 7 give?
A: -74.490 eV/cell


Q: Which of these has the lowest calculated volume?
A: HfTiC2


Q: Which of these has the highest electronic total energy?
A: LiPSCl2